First-principles (PBE) data for BaMgRh2 after structural relaxation, as listed in Alexandria via LeMat-Bulk.

Results
The calculated volume comes out at 82.4 Å³/cell. The mass density comes out at 7.41 g/cm3. The calculated formation energy is -0.06 eV per atom. As for the space-group type: P4/mmm, No. 123. The calculation puts the total magnetic moment at 0.0 Bohr magnetons per cell.

Unit cell a=3.409 b=3.409 c=7.091 alpha=90.00 beta=90.00 gamma=90.00
Element x y z (fractional)
Ba 0.500 0.500 0.250
Mg 0.500 0.500 0.750
Rh 0.000 0.000 0.945
Rh 0.000 0.000 0.555